Density functional theory data (PBE-GGA) for a relaxed structure of NdSc4In5.

Unit cell a=3.611 b=3.611 c=18.240 alpha=90.00 beta=90.00 gamma=90.00
Element x y z (fractional)
Nd: 0.000 0.000 0.000
Sc: 0.000 0.000 0.214
Sc: 0.000 0.000 0.405
Sc: 0.000 0.000 0.595
Sc: 0.000 0.000 0.786
In: 0.500 0.500 0.118
In: 0.500 0.500 0.310
In: 0.500 0.500 0.500
In: 0.500 0.500 0.690
In: 0.500 0.500 0.882

## Properties
* energy of formation from the pure elements: -0.429 eV/atom
* DOS at the Fermi energy: 5.857 states/eV/f.u.


Density functional theory data (PBE-GGA) for a relaxed structure of ZnSiBr2.

Unit cell a=11.141 b=11.141 c=11.141 alpha=20.27 beta=20.27 gamma=20.27
Element x y z (fractional)
Zn: 0.000 0.000 0.000
Si: 0.500 0.500 0.500
Br: 0.118 0.118 0.118
Br: 0.882 0.882 0.882

## Properties
* raw formation energy: 45.9 meV per atom
* DOS at the Fermi energy: 0.000 states/eV/f.u.


Density functional theory data (PBE-GGA) for a relaxed structure of Th4HgRu2.

Unit cell a=8.466 b=7.320 c=9.349 alpha=59.58 beta=48.21 gamma=72.21
Element x y z (fractional)
Th: 0.060 0.940 0.167
Th: 0.083 0.417 0.190
Th: 0.139 0.527 0.741
Th: 0.417 0.083 0.310
Th: 0.509 0.658 0.111
Th: 0.527 0.139 0.592
Th: 0.658 0.509 0.723
Th: 0.940 0.060 0.833
Hg: 0.660 0.660 0.340
Hg: 0.910 0.910 0.590
Ru: 0.142 0.434 0.459
Ru: 0.285 0.791 0.816
Ru: 0.434 0.142 0.965
Ru: 0.791 0.285 0.108

## Properties
* energy of formation from the pure elements: -0.338 eV/atom
* DOS at the Fermi energy: 6.920 states/eV/f.u.


Density functional theory data (PBE-GGA) for a relaxed structure of BaCaZnRh2.

Unit cell a=5.045 b=5.045 c=5.357 alpha=90.00 beta=90.00 gamma=90.00
Element x y z (fractional)
Ba: 0.000 0.000 0.000
Ca: 0.500 0.500 0.500
Zn: 0.500 0.500 0.000
Rh: 0.000 0.500 0.500
Rh: 0.500 0.000 0.500

## Properties
* energy of formation from the pure elements: 0.479 eV/atom
* DOS at the Fermi energy: 2.695 states/eV/f.u.


Density functional theory data (PBE-GGA) for a relaxed structure of CsTlV2Cr.

Unit cell a=4.790 b=4.790 c=6.170 alpha=90.00 beta=90.00 gamma=90.00
Element x y z (fractional)
Cs: 0.000 0.000 0.000
Tl: 0.500 0.500 0.000
V: 0.000 0.500 0.500
V: 0.500 0.000 0.500
Cr: 0.000 0.000 0.500

## Properties
* energy of formation from the pure elements: 1.418 eV/atom
* DOS at the Fermi energy: 7.350 states/eV/f.u.


Density functional theory data (PBE-GGA) for a relaxed structure of PrGe2Ir.

Unit cell a=7.081 b=4.413 c=10.460 alpha=90.00 beta=90.00 gamma=90.00
Element x y z (fractional)
Pr: 0.167 0.250 0.131
Pr: 0.333 0.750 0.631
Pr: 0.667 0.250 0.369
Pr: 0.833 0.750 0.869
Ge: 0.138 0.250 0.828
Ge: 0.189 0.250 0.424
Ge: 0.311 0.750 0.924
Ge: 0.362 0.750 0.328
Ge: 0.638 0.250 0.672
Ge: 0.689 0.250 0.076
Ge: 0.811 0.750 0.576
Ge: 0.862 0.750 0.172
Ir: 0.005 0.750 0.385
Ir: 0.495 0.250 0.885
Ir: 0.505 0.750 0.115
Ir: 0.995 0.250 0.615

## Properties
* energy of formation from the pure elements: -0.727 eV/atom
* DOS at the Fermi energy: 1.026 states/eV/f.u.


Density functional theory data (PBE-GGA) for a relaxed structure of Ti2Pt3.

Unit cell a=9.959 b=4.354 c=7.718 alpha=90.00 beta=90.00 gamma=90.00
Element x y z (fractional)
Ti: 0.005 0.250 0.169
Ti: 0.201 0.250 0.515
Ti: 0.299 0.750 0.015
Ti: 0.495 0.750 0.669
Ti: 0.505 0.250 0.331
Ti: 0.701 0.250 0.985
Ti: 0.799 0.750 0.485
Ti: 0.995 0.750 0.831
Pt: 0.057 0.750 0.397
Pt: 0.134 0.250 0.873
Pt: 0.243 0.750 0.687
Pt: 0.257 0.250 0.187
Pt: 0.366 0.750 0.373
Pt: 0.443 0.250 0.897
Pt: 0.557 0.750 0.103
Pt: 0.634 0.250 0.627
Pt: 0.743 0.750 0.813
Pt: 0.757 0.250 0.313
Pt: 0.866 0.750 0.127
Pt: 0.943 0.250 0.603

## Properties
* energy of formation from the pure elements: -0.798 eV/atom
* DOS at the Fermi energy: 3.192 states/eV/f.u.


Density functional theory data (PBE-GGA) for a relaxed structure of Sm3Hg2I8.

Unit cell a=11.449 b=11.449 c=7.772 alpha=90.05 beta=90.05 gamma=44.63
Element x y z (fractional)
Sm: 0.000 0.000 0.000
Sm: 0.263 0.737 0.500
Sm: 0.737 0.263 0.500
Hg: 0.254 0.254 0.997
Hg: 0.746 0.746 0.003
I: 0.087 0.087 0.329
I: 0.162 0.670 0.173
I: 0.330 0.838 0.827
I: 0.408 0.408 0.652
I: 0.592 0.592 0.348
I: 0.670 0.162 0.173
I: 0.838 0.330 0.827
I: 0.913 0.913 0.671

## Properties
* raw formation energy: -1123.3 meV per atom
* DOS at the Fermi energy: 5.489 states/eV/f.u.


Density functional theory data (PBE-GGA) for a relaxed structure of PtBr2Cl6.

Unit cell a=9.669 b=9.669 c=6.666 alpha=91.78 beta=91.78 gamma=83.46
Element x y z (fractional)
Pt: 0.063 0.937 0.750
Pt: 0.937 0.063 0.250
Br: 0.355 0.356 0.328
Br: 0.356 0.355 0.828
Br: 0.644 0.645 0.172
Br: 0.645 0.644 0.672
Cl: 0.023 0.153 0.954
Cl: 0.095 0.718 0.604
Cl: 0.153 0.023 0.454
Cl: 0.222 0.489 0.080
Cl: 0.282 0.905 0.896
Cl: 0.489 0.222 0.580
Cl: 0.511 0.778 0.420
Cl: 0.718 0.095 0.104
Cl: 0.778 0.511 0.920
Cl: 0.847 0.977 0.546
Cl: 0.905 0.282 0.396
Cl: 0.977 0.847 0.046

## Properties
* raw formation energy: -186.1 meV per atom


Density functional theory data (PBE-GGA) for a relaxed structure of UPaCoTc.

Unit cell a=4.736 b=4.736 c=4.736 alpha=60.00 beta=60.00 gamma=60.00
Element x y z (fractional)
U: 0.000 0.000 0.000
Pa: 0.500 0.500 0.500
Co: 0.750 0.750 0.750
Tc: 0.250 0.250 0.250

## Properties
* energy of formation from the pure elements: -0.009 eV/atom
* DOS at the Fermi energy: 6.274 states/eV/f.u.


Density functional theory data (PBE-GGA) for a relaxed structure of Ag2SbCl5.

Unit cell a=6.525 b=7.417 c=7.424 alpha=109.94 beta=96.61 gamma=116.03
Element x y z (fractional)
Ag: 0.000 0.000 0.000
Ag: 0.456 0.442 0.475
Sb: 0.294 0.613 0.013
Cl: 0.069 0.443 0.218
Cl: 0.233 0.252 0.782
Cl: 0.364 0.075 0.230
Cl: 0.580 0.789 0.775
Cl: 0.669 0.733 0.238

## Properties
* raw formation energy: -628.1 meV per atom
* DOS at the Fermi energy: 0.000 states/eV/f.u.


Density functional theory data (PBE-GGA) for a relaxed structure of YIr3N.

Unit cell a=4.223 b=4.223 c=4.223 alpha=90.00 beta=90.00 gamma=90.00
Element x y z (fractional)
Y: 0.000 0.000 0.000
Ir: 0.000 0.500 0.500
Ir: 0.500 0.000 0.500
Ir: 0.500 0.500 0.000
N: 0.500 0.500 0.500

## Properties
* raw formation energy: 23.7 meV per atom
* DOS at the Fermi energy: 4.451 states/eV/f.u.


Going through the records in order, we get magnetic moment values of 0.0 0.0 0.0 0.0 3.2 0.0 0.0 0.0 0.0 1.9 0.0 0.0 μB per cell.